#A
The following is a GGA-PBEsol calculation of a geometry-optimized FeAg2Au structure, from Alexandria.

Unit cell a=3.846 b=3.846 c=4.235 alpha=90.00 beta=90.00 gamma=90.00
Site moments in Bohr magnetons follow the coordinates.
Sites, in units of the cell vectors:
1 Au 0.500 0.500 0.500  0.03
2 Fe 0.000 0.000 0.500  2.96
3 Ag 0.000 0.500 0.000  -0.01
4 Ag 0.500 0.000 0.000  -0.01

D(E_F), states/eV/atom: 1.17
ρ, g/cm3: 12.4
Crystal system: tetragonal

#B
The following is a GGA-PBEsol calculation of a geometry-optimized FeAg2Au structure, from Alexandria.

Unit cell a=2.804 b=4.681 c=5.483 alpha=115.27 beta=104.82 gamma=90.00
Site moments in Bohr magnetons follow the coordinates.
Sites, in units of the cell vectors:
1 Ag 0.260 0.260 0.521  0.00
2 Ag 0.740 0.740 0.479  0.00
3 Fe 0.000 0.500 0.000  2.89
4 Au 0.500 0.000 0.000  0.03

D(E_F), states/eV/atom: 0.82
ρ, g/cm3: 12.5
Crystal system: orthorhombic

Verdict on stability: #B comes out on top.

#A
The following is a GGA-PBEsol calculation of a geometry-optimized LaAgAu2 structure, from Alexandria.

Unit cell a=4.964 b=4.949 c=4.964 alpha=59.90 beta=90.00 gamma=120.10
Sites, in units of the cell vectors:
1 Ag 0.000 0.000 0.000
2 La 0.500 0.000 0.500
3 Au 0.250 0.500 0.250
4 Au 0.750 0.500 0.750

D(E_F), states/eV/atom: 0.35
ρ, g/cm3: 12.4
Crystal system: tetragonal

#B
The following is a GGA-PBEsol calculation of a geometry-optimized LaAgAu2 structure, from Alexandria.

Unit cell a=3.617 b=3.617 c=6.491 alpha=90.00 beta=90.00 gamma=90.00
Sites, in units of the cell vectors:
1 Au 0.500 0.500 0.221
2 La 0.000 0.000 0.488
3 Ag 0.500 0.500 0.797
4 Au 0.000 0.000 0.993

D(E_F), states/eV/atom: 0.27
ρ, g/cm3: 12.5
Crystal system: tetragonal

Verdict on stability: #A comes out on top.

#A
The following is a GGA-PBEsol calculation of a geometry-optimized LiAgAu structure, from Alexandria.

Unit cell a=2.802 b=3.976 c=4.894 alpha=113.97 beta=106.64 gamma=90.00
Sites, in units of the cell vectors:
1 Li 0.330 0.330 0.660
2 Ag 0.999 0.999 0.997
3 Au 0.671 0.671 0.342

D(E_F), states/eV/atom: 0.30
ρ, g/cm3: 10.9
Crystal system: orthorhombic

#B
The following is a GGA-PBEsol calculation of a geometry-optimized LiAgAu structure, from Alexandria.

Unit cell a=2.832 b=2.832 c=6.146 alpha=103.16 beta=103.16 gamma=90.47
Sites, in units of the cell vectors:
1 Li 0.671 0.671 0.342
2 Ag 0.005 0.005 0.010
3 Au 0.324 0.324 0.648

D(E_F), states/eV/atom: 0.29
ρ, g/cm3: 11.1
Crystal system: orthorhombic

Verdict on stability: #A comes out on top.

#A
The following is a GGA-PBEsol calculation of a geometry-optimized Mg2AgAu structure, from Alexandria.

Unit cell a=3.989 b=3.956 c=5.214 alpha=112.33 beta=112.52 gamma=89.97
Sites, in units of the cell vectors:
1 Mg 0.001 0.001 0.001
2 Mg 0.750 0.250 0.499
3 Au 0.250 0.750 0.500
4 Ag 0.500 0.500 0.000

D(E_F), states/eV/atom: 0.22
ρ, g/cm3: 8.5
Crystal system: orthorhombic

#B
The following is a GGA-PBEsol calculation of a geometry-optimized Mg2AgAu structure, from Alexandria.

Unit cell a=4.616 b=4.616 c=4.616 alpha=60.00 beta=60.00 gamma=60.00
Sites, in units of the cell vectors:
1 Ag 0.000 0.000 0.000
2 Mg 0.250 0.250 0.250
3 Mg 0.750 0.750 0.750
4 Au 0.500 0.500 0.500

D(E_F), states/eV/atom: 0.26
ρ, g/cm3: 8.4
Crystal system: cubic

Verdict on stability: #B comes out on top.